Record 1
Entry from the Alexandria database: crystalline LaUP2 at its relaxed geometry (PBE-GGA).

Lattice parameters (Å, degrees): 3.9005 5.2273 10.0301 90.00 90.00 90.00
Site moments in Bohr magnetons follow the coordinates.
Sites, in units of the cell vectors:
La 0.5000 0.0000 0.1272  0.15
La 0.0000 0.5000 0.8728  0.15
U 0.0000 0.0000 0.6150  2.08
U 0.5000 0.5000 0.3850  2.08
P 0.0000 0.5000 0.1700  -0.05
P 0.5000 0.0000 0.8300  -0.05
P 0.5000 0.0000 0.4206  -0.07
P 0.0000 0.5000 0.5794  -0.07

DFT total energy: -61.25 eV per cell
Crystal system: orthorhombic
DFT formation energy: -0.8973 eV per atom
N(E_F): 6.6 states/eV/f.u.
Calculated density: 7.13 g/cm3
Spin magnetization: 0.644 μB/atom



Record 2
Entry from the Alexandria database: crystalline La5UP6 at its relaxed geometry (PBE-GGA).

Lattice parameters (Å, degrees): 7.2856 7.2922 7.2910 59.99 80.38 70.49
Site moments in Bohr magnetons follow the coordinates.
Sites, in units of the cell vectors:
P 0.2389 0.9205 0.6850  -0.03
P 0.7611 0.0795 0.3150  -0.03
P 0.2389 0.6055 0.3150  -0.03
P 0.2391 0.2340 0.0000  -0.03
P 0.7609 0.7660 0.0000  -0.03
P 0.7611 0.3945 0.6850  -0.03
La 0.5000 0.8307 0.3387  0.01
La 0.5000 0.1693 0.6613  0.01
La 0.0000 0.3340 0.3320  0.01
La 0.0000 0.6660 0.6680  0.01
La 0.5000 0.5000 0.0000  0.01
U 0.0000 0.0000 0.0000  1.77

DFT total energy: -85.93 eV per cell
Crystal system: monoclinic
DFT formation energy: -1.4618 eV per atom
N(E_F): 8.1 states/eV/f.u.
Calculated density: 5.87 g/cm3
Spin magnetization: 0.152 μB/atom



Record 3
Entry from the Alexandria database: crystalline LaU6P8 at its relaxed geometry (PBE-GGA).

Lattice parameters (Å, degrees): 7.1701 7.1701 7.1701 72.65 72.65 72.65
Sites, in units of the cell vectors:
U 0.0654 0.4680 0.6539
U 0.6539 0.0654 0.4680
U 0.9346 0.5320 0.3461
U 0.3461 0.9346 0.5320
U 0.5320 0.3461 0.9346
U 0.4680 0.6539 0.0654
P 0.3293 0.3293 0.3293
P 0.8811 0.1883 0.6297
P 0.8117 0.3703 0.1189
P 0.6297 0.8811 0.1883
P 0.3703 0.1189 0.8117
P 0.1189 0.8117 0.3703
P 0.6707 0.6707 0.6707
P 0.1883 0.6297 0.8811
La 0.0000 0.0000 0.0000

DFT total energy: -127.81 eV per cell
Crystal system: trigonal
DFT formation energy: -0.7917 eV per atom
N(E_F): 18.3 states/eV/f.u.
Calculated density: 9.22 g/cm3
Spin magnetization: 0.000 μB/atom



Record 4
Entry from the Alexandria database: crystalline LaUP2 at its relaxed geometry (PBE-GGA).

Lattice parameters (Å, degrees): 4.0581 4.0581 7.2192 73.68 73.68 60.00
Site moments in Bohr magnetons follow the coordinates.
Sites, in units of the cell vectors:
La 0.5000 0.5000 0.5000  0.03
P 0.2578 0.2578 0.2267  -0.06
P 0.7422 0.7422 0.7733  -0.06
U 0.0000 0.0000 0.0000  2.03

DFT total energy: -32.03 eV per cell
Crystal system: trigonal
DFT formation energy: -1.2486 eV per atom
N(E_F): 5.2 states/eV/f.u.
Calculated density: 7.48 g/cm3
Spin magnetization: 0.561 μB/atom



Record 5
Entry from the Alexandria database: crystalline LaU2P4 at its relaxed geometry (PBE-GGA).

Lattice parameters (Å, degrees): 4.0458 6.8382 12.6732 90.00 90.00 107.21
Site moments in Bohr magnetons follow the coordinates.
Sites, in units of the cell vectors:
P 0.2404 0.4807 0.8794  -0.06
P 0.2404 0.4807 0.6206  -0.06
P 0.7596 0.5193 0.3794  -0.06
P 0.5000 0.0000 0.5000  -0.07
P 0.7596 0.5193 0.1206  -0.06
P 0.5000 0.0000 0.0000  -0.07
P 0.9495 0.8990 0.7500  -0.07
P 0.0505 0.1010 0.2500  -0.07
U 0.8688 0.7375 0.9396  1.43
U 0.1312 0.2625 0.0604  1.43
U 0.1312 0.2625 0.4396  1.43
U 0.8688 0.7375 0.5604  1.43
La 0.3895 0.7791 0.2500  -0.01
La 0.6105 0.2209 0.7500  -0.01

DFT total energy: -110.54 eV per cell
Crystal system: orthorhombic
DFT formation energy: -0.8755 eV per atom
N(E_F): 10.8 states/eV/f.u.
Calculated density: 7.33 g/cm3
Spin magnetization: 0.403 μB/atom



Record 6
Entry from the Alexandria database: crystalline La2YUP4 at its relaxed geometry (PBE-GGA).

Lattice parameters (Å, degrees): 4.0979 7.0970 7.1645 109.14 90.00 90.00
Site moments in Bohr magnetons follow the coordinates.
Sites, in units of the cell vectors:
La 0.0000 0.5000 0.5000  0.03
La 0.5000 0.0000 0.5000  0.02
P 0.0000 0.7509 0.2304  -0.03
P 0.5000 0.7620 0.7719  -0.04
P 0.0000 0.2491 0.7696  -0.03
P 0.5000 0.2380 0.2281  -0.04
U 0.0000 0.0000 0.0000  1.88
Y 0.5000 0.5000 0.0000  0.01

DFT total energy: -60.62 eV per cell
Crystal system: monoclinic
DFT formation energy: -1.4214 eV per atom
N(E_F): 7.6 states/eV/f.u.
Calculated density: 6.15 g/cm3
Spin magnetization: 0.255 μB/atom



Record 7
Entry from the Alexandria database: crystalline LaY2UP4 at its relaxed geometry (PBE-GGA).

Lattice parameters (Å, degrees): 4.0433 7.0470 7.0054 109.26 90.00 90.00
Site moments in Bohr magnetons follow the coordinates.
Sites, in units of the cell vectors:
P 0.5000 0.2393 0.2488  -0.04
P 0.5000 0.7607 0.7512  -0.04
P 0.0000 0.2352 0.7461  -0.03
P 0.0000 0.7648 0.2539  -0.03
Y 0.0000 0.5000 0.5000  0.03
Y 0.5000 0.0000 0.5000  0.01
U 0.0000 0.0000 0.0000  2.00
La 0.5000 0.5000 0.0000  0.02

DFT total energy: -62.17 eV per cell
Crystal system: monoclinic
DFT formation energy: -1.4231 eV per atom
N(E_F): 7.7 states/eV/f.u.
Calculated density: 5.98 g/cm3
Spin magnetization: 0.271 μB/atom



Record 8
Entry from the Alexandria database: crystalline La2ZrUP4 at its relaxed geometry (PBE-GGA).

Lattice parameters (Å, degrees): 4.0126 6.9290 7.0850 108.90 90.00 90.00
Site moments in Bohr magnetons follow the coordinates.
Sites, in units of the cell vectors:
U 0.5000 0.5000 0.0000  1.84
La 0.0000 0.5000 0.5000  0.03
La 0.5000 0.0000 0.5000  0.03
Zr 0.0000 0.0000 0.0000  0.05
P 0.0000 0.2541 0.7777  -0.04
P 0.5000 0.2371 0.2206  -0.02
P 0.5000 0.7629 0.7794  -0.02
P 0.0000 0.7459 0.2223  -0.04

DFT total energy: -62.13 eV per cell
Crystal system: monoclinic
DFT formation energy: -1.3502 eV per atom
N(E_F): 8.2 states/eV/f.u.
Calculated density: 6.51 g/cm3
Spin magnetization: 0.265 μB/atom